1.
Density functional theory data (PBE) for MnBeCr after structural relaxation.

Cell lengths 4.132, 4.132, 4.132 Å; angles 146.68, 126.76, 64.27 degrees
Each line ends with the local moment (μB).
Element x y z (fractional)
Mn (0.661, 0.661, 0.000)  0.21
Cr (0.338, 0.338, 0.000)  -0.05
Be (0.002, 0.002, 0.000)  0.00

## Properties
E in eV/atom: -7.4825
SG: Imm2 (44)
Formation energy from the elements in eV per formula unit: 0.07

2.
Density functional theory data (PBE) for MnBe4Cr after structural relaxation.

Cell lengths 4.173, 4.173, 4.173 Å; angles 60.00, 60.00, 60.00 degrees
Each line ends with the local moment (μB).
Element x y z (fractional)
Be (0.125, 0.625, 0.625)  0.00
Be (0.625, 0.625, 0.625)  0.00
Be (0.625, 0.125, 0.625)  0.00
Be (0.625, 0.625, 0.125)  0.00
Cr (0.250, 0.250, 0.250)  -0.49
Mn (0.000, 0.000, 0.000)  0.51

## Properties
E in eV/atom: -5.8700
SG: F-43m (216)
Formation energy from the elements in eV per formula unit: -1.52

3.
Density functional theory data (PBE) for Mn2BeCr after structural relaxation.

Cell lengths 2.795, 2.795, 5.421 Å; angles 90.00, 90.00, 90.00 degrees
Each line ends with the local moment (μB).
Element x y z (fractional)
Mn (0.500, 0.500, 0.267)  2.03
Mn (0.000, 0.000, 0.989)  -0.86
Cr (0.500, 0.500, 0.744)  1.21
Be (0.000, 0.000, 0.500)  -0.04

## Properties
E in eV/atom: -7.8986
SG: P4mm (99)
Formation energy from the elements in eV per formula unit: 0.09

4.
Density functional theory data (PBE) for Mn2BeCr after structural relaxation.

Cell lengths 3.832, 2.377, 4.592 Å; angles 80.60, 90.00, 90.00 degrees
Element x y z (fractional)
Mn (0.000, 0.964, 0.013)
Mn (0.000, 0.536, 0.487)
Cr (0.500, 0.750, 0.750)
Be (0.500, 0.250, 0.250)

## Properties
E in eV/atom: -7.9341
SG: P2/m (10)
Formation energy from the elements in eV per formula unit: -0.05

5.
Density functional theory data (PBE) for Mn3BeCr after structural relaxation.

Cell lengths 7.107, 3.947, 8.133 Å; angles 90.00, 90.00, 90.00 degrees
Each line ends with the local moment (μB).
Element x y z (fractional)
Be (0.250, 0.000, 0.552)  -0.01
Be (0.750, 0.500, 0.948)  -0.01
Be (0.250, 0.500, 0.052)  -0.01
Be (0.750, 0.000, 0.448)  -0.01
Mn (0.058, 0.500, 0.823)  1.49
Mn (0.558, 0.000, 0.677)  1.49
Mn (0.750, 0.000, 0.167)  -0.62
Mn (0.058, 0.000, 0.323)  1.49
Mn (0.942, 0.500, 0.177)  1.49
Mn (0.442, 0.000, 0.323)  1.49
Mn (0.442, 0.500, 0.823)  1.49
Mn (0.250, 0.500, 0.333)  -0.62
Mn (0.558, 0.500, 0.177)  1.49
Mn (0.750, 0.500, 0.667)  -0.62
Mn (0.250, 0.000, 0.833)  -0.62
Mn (0.942, 0.000, 0.677)  1.49
Cr (0.000, 0.500, 0.500)  -0.72
Cr (0.000, 0.000, 0.000)  -0.72
Cr (0.500, 0.500, 0.500)  -0.72
Cr (0.500, 0.000, 0.000)  -0.72

## Properties
E in eV/atom: -7.8621
SG: Cmcm (63)
Formation energy from the elements in eV per formula unit: 1.55

6.
Density functional theory data (PBE) for MnBe2Cr4 after structural relaxation.

Cell lengths 4.217, 4.217, 6.443 Å; angles 70.90, 70.90, 90.00 degrees
Each line ends with the local moment (μB).
Element x y z (fractional)
Cr (0.805, 0.805, 0.391)  3.21
Cr (0.000, 0.500, 0.000)  -0.57
Cr (0.500, 0.000, 0.000)  -0.57
Cr (0.195, 0.195, 0.609)  3.21
Be (0.405, 0.405, 0.191)  -0.03
Be (0.595, 0.595, 0.809)  -0.03
Mn (0.000, 0.000, 0.000)  -0.62

## Properties
E in eV/atom: -6.7783
SG: I4/mmm (139)
Formation energy from the elements in eV per formula unit: 7.67

7.
Density functional theory data (PBE) for Mn2BeCr after structural relaxation.

Cell lengths 4.475, 4.475, 4.475 Å; angles 143.65, 128.22, 64.90 degrees
Element x y z (fractional)
Be (0.250, 0.750, 0.500)
Mn (0.507, 0.507, 0.000)
Mn (0.993, 0.993, 0.000)
Cr (0.750, 0.250, 0.500)

## Properties
E in eV/atom: -7.9359
SG: Immm (71)
Formation energy from the elements in eV per formula unit: -0.06

8.
Density functional theory data (PBE) for MnBeCr after structural relaxation.

Cell lengths 3.855, 3.855, 2.369 Å; angles 90.00, 90.00, 120.00 degrees
Element x y z (fractional)
Cr (0.667, 0.333, 0.372)
Mn (0.333, 0.667, 0.636)
Be (0.000, 0.000, 0.991)

## Properties
E in eV/atom: -7.5815
SG: P3m1 (156)
Formation energy from the elements in eV per formula unit: -0.23